GdErZnPb GGA-PBE optimized geometry; SG = F-43m, No. 216; energy relative to the elements = -0.368 eV/atom; mass density = 9682 kg/m3
1.0
0.000 3.713 3.713
3.713 0.000 3.713
3.713 3.713 0.000
Gd Er Zn Pb
1 1 1 1
Direct
0.000 0.000 0.000 Gd
0.500 0.500 0.500 Er
0.250 0.250 0.250 Zn
0.750 0.750 0.750 Pb

***

PrTlHgF6 GGA-PBE optimized geometry; SG = P-31c, No. 163; mass density = 5738 kg/m3; formation energy from raw total energies = -2.61 eV per atom
1.0
6.436 0.000 0.000
-3.218 5.574 0.000
0.000 0.000 10.647
Pr Tl Hg F
2 2 2 12
Direct
0.333 0.667 0.250 Pr
0.667 0.333 0.750 Pr
0.000 0.000 0.000 Tl
0.000 0.000 0.500 Tl
0.333 0.667 0.750 Hg
0.667 0.333 0.250 Hg
0.003 0.374 0.140 F
0.003 0.630 0.360 F
0.370 0.374 0.360 F
0.370 0.997 0.140 F
0.374 0.003 0.640 F
0.374 0.370 0.860 F
0.626 0.630 0.140 F
0.626 0.997 0.360 F
0.630 0.003 0.860 F
0.630 0.626 0.640 F
0.997 0.370 0.640 F
0.997 0.626 0.860 F

***

SnBiAuN GGA-PBE optimized geometry; SG = Cm, No. 8; mass density = 9798 kg/m3; formation energy from raw total energies = 0.34 eV per atom
1.0
5.400 -1.747 0.000
5.400 1.747 0.000
-1.986 0.000 4.838
Sn Bi Au N
1 1 1 1
Direct
0.000 0.000 0.000 Sn
0.660 0.660 0.599 Bi
0.282 0.282 0.310 Au
0.463 0.463 0.220 N

***

KBa3Te GGA-PBE optimized geometry; SG = Pm-3m, No. 221; mass density = 2976 kg/m3; formation energy from raw total energies = -0.53 eV per atom
1.0
6.861 0.000 0.000
0.000 6.861 0.000
0.000 0.000 6.861
K Ba Te
1 3 1
Direct
0.000 0.000 0.000 K
0.000 0.500 0.500 Ba
0.500 0.000 0.500 Ba
0.500 0.500 0.000 Ba
0.500 0.500 0.500 Te

***

SrCaTl6 GGA-PBE optimized geometry; SG = P4/mmm, No. 123; energy relative to the elements = -0.245 eV/atom; mass density = 9393 kg/m3
1.0
4.931 0.000 0.000
0.000 4.931 0.000
0.000 0.000 9.844
Sr Ca Tl
1 1 6
Direct
0.000 0.000 0.000 Sr
0.000 0.000 0.500 Ca
0.000 0.500 0.256 Tl
0.000 0.500 0.744 Tl
0.500 0.000 0.256 Tl
0.500 0.000 0.744 Tl
0.500 0.500 0.000 Tl
0.500 0.500 0.500 Tl

***

MgSc GGA-PBE optimized geometry; SG = I-43m, No. 217; energy relative to the elements = 1.063 eV/atom; mass density = 1067 kg/m3
1.0
-4.759 4.759 4.759
4.759 -4.759 4.759
4.759 4.759 -4.759
Mg Sc
4 4
Direct
0.000 0.000 0.609 Mg
0.000 0.609 0.000 Mg
0.391 0.391 0.391 Mg
0.609 0.000 0.000 Mg
0.000 0.000 0.223 Sc
0.000 0.223 0.000 Sc
0.223 0.000 0.000 Sc
0.777 0.777 0.777 Sc

***

LaCo6 GGA-PBE optimized geometry; SG = Pnma, No. 62; energy relative to the elements = 0.047 eV/atom; mass density = 8433 kg/m3
1.0
7.871 0.000 0.000
0.000 4.914 0.000
0.000 0.000 10.029
La Co
4 24
Direct
0.235 0.250 0.056 La
0.265 0.750 0.556 La
0.735 0.250 0.444 La
0.765 0.750 0.944 La
0.069 0.011 0.309 Co
0.069 0.489 0.309 Co
0.075 0.750 0.100 Co
0.099 0.250 0.523 Co
0.145 0.750 0.850 Co
0.182 0.250 0.757 Co
0.318 0.750 0.257 Co
0.355 0.250 0.350 Co
0.401 0.750 0.023 Co
0.425 0.250 0.600 Co
0.431 0.511 0.809 Co
0.431 0.989 0.809 Co
0.569 0.011 0.191 Co
0.569 0.489 0.191 Co
0.575 0.750 0.400 Co
0.599 0.250 0.977 Co
0.645 0.750 0.650 Co
0.682 0.250 0.743 Co
0.818 0.750 0.243 Co
0.855 0.250 0.150 Co
0.901 0.750 0.477 Co
0.925 0.250 0.900 Co
0.931 0.511 0.691 Co
0.931 0.989 0.691 Co

***

Na5B7C3 GGA-PBE optimized geometry; SG = Cm, No. 8; energy relative to the elements = 0.128 eV/atom; mass density = 2419 kg/m3
1.0
11.499 -1.420 0.000
11.499 1.420 0.000
-2.938 0.000 9.526
Na B C
10 14 6
Direct
0.000 0.000 0.000 Na
0.100 0.100 0.697 Na
0.198 0.198 0.399 Na
0.300 0.300 0.091 Na
0.398 0.398 0.800 Na
0.500 0.500 0.499 Na
0.600 0.600 0.197 Na
0.699 0.699 0.897 Na
0.799 0.799 0.598 Na
0.900 0.900 0.298 Na
0.019 0.019 0.286 B
0.118 0.118 0.984 B
0.185 0.185 0.117 B
0.212 0.212 0.674 B
0.316 0.316 0.383 B
0.381 0.381 0.511 B
0.423 0.423 0.094 B
0.580 0.580 0.908 B
0.616 0.616 0.480 B
0.775 0.775 0.299 B
0.810 0.810 0.869 B
0.882 0.882 0.012 B
0.921 0.921 0.592 B
0.988 0.988 0.724 B
0.084 0.084 0.416 C
0.278 0.278 0.806 C
0.487 0.487 0.221 C
0.518 0.518 0.783 C
0.681 0.681 0.610 C
0.715 0.715 0.179 C